A relaxed Pa2BeB2Ir5 crystal, computed with PBE-GGA.

Output
SG = P4/mbm (127)
Crystal system = tetragonal
Energy of formation = -558 meV per atom
Calculated total energy = -171.9 eV per cell

Unit cell a=9.3068 b=9.3068 c=3.3860 alpha=90.00 beta=90.00 gamma=90.00
Sites, in units of the cell vectors:
Pa1 0.1784 0.3216 0.0000
Pa2 0.3216 0.8216 0.0000
Pa3 0.6784 0.1784 0.0000
Pa4 0.8216 0.6784 0.0000
Be1 0.0000 0.0000 0.0000
Be2 0.5000 0.5000 0.0000
B1 0.1217 0.6217 0.0000
B2 0.3783 0.1217 0.0000
B3 0.6217 0.8783 0.0000
B4 0.8783 0.3783 0.0000
Ir1 0.0000 0.5000 0.5000
Ir2 0.0677 0.7866 0.5000
Ir3 0.2134 0.0677 0.5000
Ir4 0.2866 0.5677 0.5000
Ir5 0.4323 0.2866 0.5000
Ir6 0.5000 0.0000 0.5000
Ir7 0.5677 0.7134 0.5000
Ir8 0.7134 0.4323 0.5000
Ir9 0.7866 0.9323 0.5000
Ir10 0.9323 0.2134 0.5000